Here is an optimized crystal structure of CaGdNi2 from Alexandria. Energies are from GGA-PBE.

Cell lengths 3.4187, 3.4187, 6.8688 Å; angles 90.00, 90.00, 90.00 degrees
Closest atoms and distances in Å follow each position.
Fractional coordinates of all 4 atoms:
Ni (0.0000, 0.0000, 0.7779)  4 Gd 2.86, 1 Ni 3.05, 4 Ca 3.08
Ni (0.0000, 0.0000, 0.2221)  4 Gd 2.86, 1 Ni 3.05, 4 Ca 3.08
Ca (0.5000, 0.5000, 0.5000)  8 Ni 3.08, 4 Ca 3.42, 2 Gd 3.43
Gd (0.5000, 0.5000, 0.0000)  8 Ni 2.86

Calculated values
Space-group type = P4/mmm
Formation enthalpy at 0 K = -213 meV/atom
E above lowest polymorph = 0 meV/atom
Energy = -28.50 eV per cell